{
  "formula": "Nd2MgGa3Ag4",
  "functional": "GGA-PBE",
  "state": "optimized geometry",
  "lattice": [[-1.392, -1.672, 3.734], [-2.758, -2.530, -2.160], [8.055, -8.209, -0.673]],
  "species": ["Nd", "Nd", "Mg", "Ga", "Ga", "Ga", "Ag", "Ag", "Ag", "Ag"],
  "frac_coords": [[0.500, 0.000, 0.235], [0.000, 0.500, 0.765], [0.500, 0.500, 0.500], [0.000, 0.000, 0.500], [0.500, 0.000, 0.866], [0.000, 0.500, 0.134], [0.500, 0.500, 0.000], [0.000, 0.000, 0.000], [0.500, 0.000, 0.644], [0.000, 0.500, 0.356]],
  "mass_density_g_cm3": 7.4,
  "ef_mev_per_atom": -339
}